Compound: ZrNp2Se6
Source: Alexandria via LeMat-Bulk
Functional: PBE
Structure: relaxed

Properties
total magnetization: 6.0 μB/f.u.
calculated total energy: -0.52650 Ry/atom
density of states at the Fermi level: 1.588 states/eV per atom
calculated volume: 29.736 Å³ per atom

Cell lengths 6.579, 6.579, 12.365 Å; angles 90.00, 90.00, 90.00 degrees
Space group P4_2/mnm (No. 136)
Unique sites:
Zr1 0.000 0.000 0.000 [2 per cell]
Np1 0.000 0.000 0.331 [4 per cell]
Se1 0.195 0.195 0.158 [8 per cell]
Se2 0.202 0.202 0.500 [4 per cell]